Computed, not measured: a relaxed structure of Pm3Th3WN8 at the PBE level of DFT.

As for the raw formation energy: -1.27 eV per atom. The value obtained for the total magnetic moment is 0.0 μB per cell. The crystal system is trigonal.

a b c (Å): 7.0729 7.0729 17.3469
angles (deg): 90.00 90.00 120.00
Closest atoms and distances in Å follow each position.
Space group R-3m (No. 166, hexagonal axes)
One atom of each set of equivalent atoms:
Pm  0.0000  0.5000  0.0000 (multiplicity 9)  6 N 2.52-2.57
Th  0.0000  0.5000  0.5000 (multiplicity 9)  6 N 2.48-2.50
W  0.0000  0.0000  0.5000 (multiplicity 3)  6 N 2.12
N  0.0000  0.0000  0.2483 (multiplicity 6)  3 Th 2.48, 3 Pm 2.52
N  0.0459  0.5230  0.2350 (multiplicity 18)  1 W 2.12

***

Computed, not measured: a relaxed structure of Y2CdCl8 at the PBE level of DFT.

As for the raw formation energy: -1.92 eV per atom. The value obtained for the total magnetic moment is 0.0 μB per cell. The crystal system is monoclinic.

a b c (Å): 20.4769 3.8281 8.1828
angles (deg): 90.00 98.45 90.00
Closest atoms and distances in Å follow each position.
Space group C2/m (No. 12)
One atom of each set of equivalent atoms:
Y  0.1585  0.0000  0.3309 (multiplicity 4)  7 Cl 2.65-2.96
Cd  0.0000  0.5000  0.0000 (multiplicity 2)  6 Cl 2.63-2.73
Cl  0.0133  0.0000  0.2222 (multiplicity 4)  2 Cd 2.63
Cl  0.1093  0.5000  0.5011 (multiplicity 4)  2 Y 2.65
Cl  0.1344  0.5000  0.0746 (multiplicity 4)  1 Cd 2.73, 2 Y 2.83
Cl  0.2407  0.0000  0.6598 (multiplicity 4)  3 Y 2.81-2.96, 1 Cl 3.10

***

Computed, not measured: a relaxed structure of PaAgPbO4 at the PBE level of DFT.

As for the raw formation energy: -2.06 eV per atom. The value obtained for the total magnetic moment is 0.0 μB per cell. The crystal system is orthorhombic.

a b c (Å): 7.2861 7.8688 8.7650
angles (deg): 90.00 90.00 90.00
Closest atoms and distances in Å follow each position.
Space group Imma (No. 74)
One atom of each set of equivalent atoms:
Pa  0.2500  0.2500  0.2500 (multiplicity 4)  6 O 2.09-2.29
Ag  0.0000  0.0000  0.0000 (multiplicity 4)  2 O 2.25
Pb  0.0000  0.2500  0.6625 (multiplicity 4)  2 O 2.27
O  0.0000  0.0746  0.2473 (multiplicity 8)  1 Ag 2.25, 2 Pa 2.29
O  0.2290  0.2500  0.4873 (multiplicity 8)  1 Pa 2.09, 1 Pb 2.27

***

Computed, not measured: a relaxed structure of TaGa at the PBE level of DFT.

The value obtained for the total magnetic moment is 0.0 μB per cell. The energy of formation comes out at 0.01 eV per atom. The crystal system is monoclinic.

a b c (Å): 9.8684 4.6877 3.0003
angles (deg): 90.00 104.22 90.00
Closest atoms and distances in Å follow each position.
Space group C2/m (No. 12)
One atom of each set of equivalent atoms:
Ta  0.1346  0.0000  0.3782 (multiplicity 4)  6 Ga 2.72-2.90, 4 Ta 2.92-3.04
Ga  0.1176  0.5000  0.8651 (multiplicity 4)  2 Ga 2.64-2.77, 6 Ta 2.72-2.90

***

Computed, not measured: a relaxed structure of ScBe3 at the PBE level of DFT.

The value obtained for the total magnetic moment is 0.0 μB per cell. The energy of formation comes out at -0.01 eV per atom. The value obtained for the polymorph energy (0 for the lowest one) is 11.55 kJ per mole of atoms. The crystal system is orthorhombic.

a b c (Å): 5.7964 9.3831 3.6478
angles (deg): 90.00 90.00 90.00
Closest atoms and distances in Å follow each position.
Space group Cmcm (No. 63)
One atom of each set of equivalent atoms:
Sc  0.0000  0.1552  0.2500 (multiplicity 4)  12 Be 2.67-2.90
Be  0.0000  0.3635  0.7500 (multiplicity 4)  6 Be 2.21
Be  0.1857  0.4302  0.2500 (multiplicity 8)  6 Be 2.15-2.25

***

Computed, not measured: a relaxed structure of VCuOs at the PBE level of DFT.

The value obtained for the total magnetic moment is 0.0 μB per cell. The energy of formation comes out at 0.13 eV per atom. The crystal system is monoclinic.

a b c (Å): 8.4152 2.9238 6.8849
angles (deg): 90.00 100.84 90.00
Closest atoms and distances in Å follow each position.
Space group C2/m (No. 12)
One atom of each set of equivalent atoms:
V  0.1062  0.0000  0.2457 (multiplicity 4)  4 Os 2.47-2.61, 5 Cu 2.60-2.74
Cu  0.1313  0.5000  0.9358 (multiplicity 4)  3 Cu 2.50-2.53, 5 V 2.60-2.74, 2 Os 2.68
Os  0.1627  0.0000  0.6187 (multiplicity 4)  4 V 2.47-2.61, 2 Cu 2.68

***

| no. | electronic total energy (eV/f.u.) |
| --- | --- |
| 1 | -135.2 |
| 2 | -49.7 |
| 3 | -50.3 |
| 4 | -14.9 |
| 5 | -17.6 |
| 6 | -24.0 |